(1)
! TlTc2Os | Alexandria via LeMat-Bulk | meta-GGA SCAN | PBEsol geometry; values from VASP
&SYSTEM
  ibrav = 0, nat = 4, ntyp = 3
/
ATOMIC_SPECIES
Os 190.23 Os.upf
Tc 98.00 Tc.upf
Tl 204.38 Tl.upf
CELL_PARAMETERS angstrom
-0.446 0.481 2.715
-2.029 -1.257 -1.450
3.669 -8.318 2.078
ATOMIC_POSITIONS angstrom
Os -0.394 -2.301 1.110
Tc 3.660 -8.298 2.073
Tc 1.593 -6.804 2.236
Tl 1.838 -4.168 1.041
! - Calculated total energy: -52.786 eV per atom
! - Symmetry: Cmm2 (35)
! - Formation energy from the elements: 3.213 eV per formula unit

***

(2)
! TlTcOs2 | Alexandria via LeMat-Bulk | meta-GGA SCAN | PBEsol geometry; values from VASP
&SYSTEM
  ibrav = 0, nat = 4, ntyp = 3
/
ATOMIC_SPECIES
Os 190.23 Os.upf
Tc 98.00 Tc.upf
Tl 204.38 Tl.upf
CELL_PARAMETERS angstrom
-2.328 1.045 1.195
-2.297 -1.612 0.258
1.387 -3.050 8.689
ATOMIC_POSITIONS angstrom
Os -0.741 -0.971 2.727
Os -2.497 -2.647 7.416
Tc -1.619 -1.809 5.071
Tl 0.000 0.000 0.000
! - Calculated total energy: -62.174 eV per atom
! - Symmetry: R-3m (166)
! - Formation energy from the elements: 2.482 eV per formula unit